No. 1
Computed, not measured: a geometry-optimized ZrTl2RuRh structure at the PBE level of DFT.

Computed properties:
The value obtained for the formation energy is 3.59 eV per formula unit.

a = 5.1298 Å, b = 5.1298 Å, c = 4.8409 Å
α = 90.00°, β = 90.00°, γ = 90.00°
Last column: nearest neighbours and their distance in Å.
Space group P4/mmm (No. 123)
One atom of each set of equivalent atoms:
Zr: 0.0000 0.0000 0.0000  2 Ru 2.42
Tl: 0.0000 0.5000 0.5000  2 Ru 2.56
Ru: 0.0000 0.0000 0.5000  2 Zr 2.42, 4 Tl 2.56
Rh: 0.5000 0.5000 0.0000  8 Tl 3.53, 4 Zr 3.63

=====

No. 2
Computed, not measured: a geometry-optimized Tm8Ru2Rh structure at the PBE level of DFT.

Computed properties:
Its offset from the most stable computed form is 0.000 eV per atom. The value obtained for the formation energy is -4.41 eV per formula unit.

a = 17.1430 Å, b = 4.7809 Å, c = 6.7845 Å
α = 90.00°, β = 107.75°, γ = 90.00°
Last column: nearest neighbours and their distance in Å.
Space group C2/m (No. 12)
One atom of each set of equivalent atoms:
Tm: 0.0313 0.0000 0.2908  1 Ru 2.87, 2 Rh 2.91
Tm: 0.0964 0.5000 0.9557  1 Rh 3.03, 2 Ru 3.03, 6 Tm 3.29-3.34
Tm: 0.1687 0.5000 0.4642  3 Ru 2.84-3.05, 1 Rh 2.98
Tm: 0.2040 0.0000 0.8135  1 Ru 2.74
Ru: 0.1841 0.0000 0.1992  7 Tm 2.74-3.05
Rh: 0.0000 0.5000 0.5000  8 Tm 2.91-3.03

=====

No. 3
Computed, not measured: a geometry-optimized Tm6RuRh3 structure at the PBE level of DFT.

Computed properties:
The value obtained for the formation energy is -6.18 eV per formula unit.

a = 8.1436 Å, b = 11.7018 Å, c = 4.6951 Å
α = 90.00°, β = 90.00°, γ = 90.00°
Last column: nearest neighbours and their distance in Å.
Space group Pnnm (No. 58)
One atom of each set of equivalent atoms:
Tm: 0.0014 0.2485 0.0000  4 Rh 2.88-2.91, 1 Ru 2.94
Tm: 0.1622 0.4141 0.5000  2 Ru 2.87, 3 Rh 2.89-2.93
Tm: 0.1712 0.0810 0.5000  1 Ru 2.84, 4 Rh 2.88-2.91
Ru: 0.0000 0.5000 0.0000  8 Tm 2.84-2.94
Rh: 0.0000 0.0000 0.0000  8 Tm 2.89-2.93
Rh: 0.1651 0.8348 0.5000  7 Tm 2.88-2.91

=====

No. 4
Computed, not measured: a geometry-optimized Tm7Ru2Rh2 structure at the PBE level of DFT.

Computed properties:
The value obtained for the formation energy is -3.70 eV per formula unit.

a = 7.7090 Å, b = 10.1959 Å, c = 6.7659 Å
α = 90.00°, β = 90.00°, γ = 90.00°
Last column: nearest neighbours and their distance in Å.
Space group Cmmm (No. 65)
One atom of each set of equivalent atoms:
Tm: 0.0000 0.0000 0.0000  2 Rh 2.89
Tm: 0.0000 0.5000 0.2631  2 Rh 2.84, 2 Ru 2.95
Tm: 0.2500 0.2500 0.2738  2 Rh 2.69
Ru: 0.1783 0.0000 0.5000  1 Ru 2.75, 6 Tm 2.95-3.02
Rh: 0.0000 0.2830 0.0000  7 Tm 2.69-2.89

=====

No. 5
Computed, not measured: a geometry-optimized Tm6RuRh5 structure at the PBE level of DFT.

Computed properties:
The value obtained for the formation energy is -10.81 eV per formula unit.

a = 4.7758 Å, b = 14.3538 Å, c = 6.7110 Å
α = 90.00°, β = 90.00°, γ = 90.00°
Last column: nearest neighbours and their distance in Å.
Space group Cmmm (No. 65)
One atom of each set of equivalent atoms:
Tm: 0.0000 0.0000 0.2480  2 Ru 2.91, 6 Rh 2.92-2.94
Tm: 0.0000 0.3343 0.2488  1 Ru 2.91, 7 Rh 2.91-2.93
Ru: 0.0000 0.5000 0.0000  8 Tm 2.91
Rh: 0.0000 0.1669 0.0000  8 Tm 2.91-2.93
Rh: 0.0000 0.1673 0.5000  8 Tm 2.92-2.94
Rh: 0.0000 0.5000 0.5000  8 Tm 2.92-2.93

=====

No. 6
Computed, not measured: a geometry-optimized Tm4RuRh structure at the PBE level of DFT.

Computed properties:
Its offset from the most stable computed form is 0.083 eV per atom. The value obtained for the formation energy is -2.96 eV per formula unit.

a = 6.7113 Å, b = 6.7156 Å, c = 6.7169 Å
α = 90.00°, β = 90.46°, γ = 90.00°
Last column: nearest neighbours and their distance in Å.
Space group P2_1/c (No. 14)
One atom of each set of equivalent atoms:
Tm: 0.1621 0.1649 0.1669  2 Ru 2.73-2.74, 1 Rh 2.77
Tm: 0.3327 0.6648 0.1624  1 Ru 2.71, 2 Rh 2.75
Ru: 0.0000 0.0000 0.5000  6 Tm 2.71-2.74
Rh: 0.5000 0.0000 0.0000  6 Tm 2.75-2.77

=====

No. 7
Computed, not measured: a geometry-optimized Tm6RuRh structure at the PBE level of DFT.

Computed properties:
The value obtained for the formation energy is -2.58 eV per formula unit.

a = 6.6171 Å, b = 10.7078 Å, c = 6.6149 Å
α = 90.00°, β = 107.76°, γ = 90.00°
Last column: nearest neighbours and their distance in Å.
Space group C2/m (No. 12)
One atom of each set of equivalent atoms:
Tm: 0.2454 0.1738 0.2468  1 Ru 2.67, 1 Rh 2.72
Tm: 0.2482 0.5000 0.2472  1 Ru 2.67, 1 Rh 2.68
Ru: 0.0000 0.0000 0.0000  6 Tm 2.67
Rh: 0.0000 0.5000 0.5000  6 Tm 2.68-2.72

=====

No. 8
Computed, not measured: a geometry-optimized Tm3RuRh structure at the PBE level of DFT.

Computed properties:
The value obtained for the formation energy is -2.45 eV per formula unit.

a = 4.0590 Å, b = 6.6799 Å, c = 8.4985 Å
α = 90.00°, β = 90.00°, γ = 90.00°
Last column: nearest neighbours and their distance in Å.
Space group Pmmn (No. 59, origin choice 2)
One atom of each set of equivalent atoms:
Tm: 0.2500 0.0136 0.1677  3 Rh 2.71-2.94, 2 Ru 2.88
Tm: 0.2500 0.2500 0.5411  2 Ru 2.76, 1 Rh 2.85
Ru: 0.2500 0.7500 0.6785  6 Tm 2.76-2.88
Rh: 0.2500 0.2500 0.8760  7 Tm 2.71-2.94

=====

No. 9
Computed, not measured: a geometry-optimized Tm4Ru2Rh structure at the PBE level of DFT.

Computed properties:
Its offset from the most stable computed form is 0.104 eV per atom. The value obtained for the formation energy is -3.04 eV per formula unit.

a = 8.4060 Å, b = 8.4060 Å, c = 8.4404 Å
α = 90.00°, β = 90.00°, γ = 90.00°
Last column: nearest neighbours and their distance in Å.
Space group I-42d (No. 122)
One atom of each set of equivalent atoms:
Tm: 0.0681 0.6818 0.4409  4 Ru 2.77-3.07, 2 Rh 2.78-3.08
Ru: 0.1250 0.7500 0.1250  8 Tm 2.77-3.07
Rh: 0.0000 0.0000 0.5000  8 Tm 2.78-3.08

=====

No. 10
Computed, not measured: a geometry-optimized Tm8Ru5Rh structure at the PBE level of DFT.

Computed properties:
The value obtained for the formation energy is -4.68 eV per formula unit.

a = 8.4370 Å, b = 8.4370 Å, c = 8.3790 Å
α = 90.00°, β = 90.00°, γ = 90.00°
Last column: nearest neighbours and their distance in Å.
Space group I-4 (No. 82)
One atom of each set of equivalent atoms:
Tm: 0.0511 0.3160 0.4595  1 Rh 2.72, 3 Ru 2.75-2.92
Tm: 0.0824 0.1794 0.8313  5 Ru 2.73-3.03
Ru: 0.0000 0.5000 0.7500  8 Tm 2.87-2.92
Ru: 0.1429 0.2393 0.1548  6 Tm 2.73-3.03
Rh: 0.0000 0.0000 0.5000  4 Tm 2.72

=====

No. 11
Computed, not measured: a geometry-optimized Tm4RuRh structure at the PBE level of DFT.

Computed properties:
Its offset from the most stable computed form is 0.000 eV per atom. The value obtained for the formation energy is -3.46 eV per formula unit.

a = 8.8231 Å, b = 12.7666 Å, c = 6.2334 Å
α = 90.00°, β = 124.48°, γ = 90.00°
Last column: nearest neighbours and their distance in Å.
Space group C2/c (No. 15)
One atom of each set of equivalent atoms:
Tm: 0.1297 0.1761 0.0993  2 Ru 2.88-2.91, 2 Rh 2.89-3.00
Tm: 0.1969 0.4369 0.2653  2 Ru 2.79-2.84, 2 Rh 2.81-3.05
Ru: 0.0000 0.9997 0.2500  8 Tm 2.79-2.91, 2 Ru 3.12
Rh: 0.0000 0.3641 0.7500  8 Tm 2.81-3.05

=====

No. 12
Computed, not measured: a geometry-optimized Tm5Ru2Rh structure at the PBE level of DFT.

Computed properties:
The value obtained for the formation energy is -4.19 eV per formula unit.

a = 7.2209 Å, b = 7.2209 Å, c = 13.8519 Å
α = 90.00°, β = 90.00°, γ = 90.00°
Last column: nearest neighbours and their distance in Å.
Space group I4/mcm (No. 140)
One atom of each set of equivalent atoms:
Tm: 0.0000 0.0000 0.0000  4 Ru 2.84
Tm: 0.1739 0.3261 0.1424  3 Ru 2.83-2.96, 2 Rh 3.06
Ru: 0.1274 0.3726 0.5000  1 Ru 2.60, 4 Tm 2.83-2.84
Rh: 0.0000 0.0000 0.2500  8 Tm 3.06